# Tb2P7Ir12 PBE optimized geometry
data_Tb2P7Ir12
_space_group_name_H-M_alt 'P -3'
_space_group_IT_number 147
_cell_length_a 9.6089
_cell_length_b 9.6089
_cell_length_c 3.9651
_cell_angle_alpha 90.00
_cell_angle_beta 90.00
_cell_angle_gamma 120.00
loop_
_space_group_symop_operation_xyz
'x,y,z'
'-x,-y,-z'
'-y,x-y,z'
'y,-x+y,-z'
'-x+y,-x,z'
'x-y,x,-z'
loop_
_atom_site_label
_atom_site_type_symbol
_atom_site_fract_x
_atom_site_fract_y
_atom_site_fract_z
Tb1 Tb 0.3333 0.6667 0.2516
P1 P 0.0000 0.0000 0.0000
P2 P 0.1249 0.4079 0.7457
Ir1 Ir 0.0700 0.6157 0.7530
Ir2 Ir 0.1058 0.8429 0.2601
# magnetic moment = 0.0 μB/cell
# calculated formation energy = -663 meV/atom

# Nd3SnSb2 PBE optimized geometry
data_Nd3SnSb2
_space_group_name_H-M_alt 'I m m m'
_space_group_IT_number 71
_space_group_name_Hall '-I 2 2'
_cell_length_a 4.462
_cell_length_b 6.406
_cell_length_c 13.732
_cell_angle_alpha 90.00
_cell_angle_beta 90.00
_cell_angle_gamma 90.00
loop_
_atom_site_label
_atom_site_type_symbol
_atom_site_fract_x
_atom_site_fract_y
_atom_site_fract_z
Nd1 Nd 0.000 0.000 0.000
Nd2 Nd 0.000 0.000 0.330
Sn1 Sn 0.000 0.500 0.000
Sb1 Sb 0.000 0.500 0.333
# energy relative to the elements, uncorrected = -5.87 eV/f.u.
# magnetic moment = 0.0 μB/cell

# BaCuN PBE optimized geometry
data_BaCuN
_space_group_name_H-M_alt 'P 3 m 1'
_space_group_IT_number 156
_cell_length_a 3.7997
_cell_length_b 3.7997
_cell_length_c 4.2249
_cell_angle_alpha 90.00
_cell_angle_beta 90.00
_cell_angle_gamma 120.00
loop_
_space_group_symop_operation_xyz
'x,y,z'
'-y,x-y,z'
'-x+y,-x,z'
'-y,-x,z'
'-x+y,y,z'
'x,x-y,z'
loop_
_atom_site_label
_atom_site_type_symbol
_atom_site_fract_x
_atom_site_fract_y
_atom_site_fract_z
Ba1 Ba 0.0000 0.0000 0.0000
Cu1 Cu 0.6667 0.3333 0.5001
N1 N 0.3333 0.6667 0.5012
# energy relative to the elements, uncorrected = 0.29 eV/f.u.
# magnetic moment = 0.0 μB/cell

# EuErAgGe PBE optimized geometry
data_EuErAgGe
_space_group_name_H-M_alt 'F -4 3 m'
_space_group_IT_number 216
_space_group_name_Hall 'F -4 2 3'
_cell_length_a 7.303
_cell_length_b 7.303
_cell_length_c 7.303
_cell_angle_alpha 90.00
_cell_angle_beta 90.00
_cell_angle_gamma 90.00
loop_
_atom_site_label
_atom_site_type_symbol
_atom_site_fract_x
_atom_site_fract_y
_atom_site_fract_z
Eu1 Eu 0.000 0.000 0.000
Er1 Er 0.000 0.000 0.500
Ag1 Ag 0.250 0.250 0.250
Ge1 Ge 0.250 0.250 0.750
# magnetic moment = 28.9 μB/cell
# calculated formation energy = -508 meV/atom

# SrHf3Sn PBE optimized geometry
data_SrHf3Sn
_space_group_name_H-M_alt 'P m -3 m'
_space_group_IT_number 221
_space_group_name_Hall '-P 4 2 3'
_cell_length_a 5.156
_cell_length_b 5.156
_cell_length_c 5.156
_cell_angle_alpha 90.00
_cell_angle_beta 90.00
_cell_angle_gamma 90.00
loop_
_atom_site_label
_atom_site_type_symbol
_atom_site_fract_x
_atom_site_fract_y
_atom_site_fract_z
Sr1 Sr 0.000 0.000 0.000
Hf1 Hf 0.000 0.000 0.500
Sn1 Sn 0.500 0.500 0.500
# magnetic moment = 0.7 μB/cell
# calculated formation energy = 1939 meV/atom

# Cs5Sc2Se5 PBE optimized geometry
data_Cs5Sc2Se5
_space_group_name_H-M_alt 'C 1 2/m 1'
_space_group_IT_number 12
_cell_length_a 16.258
_cell_length_b 4.424
_cell_length_c 14.076
_cell_angle_alpha 90.00
_cell_angle_beta 90.64
_cell_angle_gamma 90.00
loop_
_space_group_symop_operation_xyz
'x,y,z'
'-x,-y,-z'
'-x,y,-z'
'x,-y,z'
'x+1/2,y+1/2,z'
'-x+1/2,-y+1/2,-z'
'-x+1/2,y+1/2,-z'
'x+1/2,-y+1/2,z'
loop_
_atom_site_label
_atom_site_type_symbol
_atom_site_fract_x
_atom_site_fract_y
_atom_site_fract_z
Cs1 Cs 0.000 0.000 0.000
Cs2 Cs 0.152 0.000 0.589
Cs3 Cs 0.230 0.000 0.843
Sc1 Sc 0.058 0.500 0.329
Se1 Se 0.000 0.500 0.500
Se2 Se 0.059 0.500 0.788
Se3 Se 0.151 0.000 0.321
# energy relative to the elements, uncorrected = -15.20 eV/f.u.
# magnetic moment = 1.0 μB/cell

# AsS2 PBE optimized geometry
data_AsS2
_space_group_name_H-M_alt 'C m c m'
_space_group_IT_number 63
_space_group_name_Hall '-C 2c 2'
_cell_length_a 4.164
_cell_length_b 17.903
_cell_length_c 4.172
_cell_angle_alpha 90.00
_cell_angle_beta 90.00
_cell_angle_gamma 90.00
loop_
_atom_site_label
_atom_site_type_symbol
_atom_site_fract_x
_atom_site_fract_y
_atom_site_fract_z
As1 As 0.000 0.183 0.250
S1 S 0.000 0.115 0.750
S2 S 0.000 0.385 0.750
# energy relative to the elements, uncorrected = 1.18 eV/f.u.
# magnetic moment = 0.0 μB/cell

# KLi3Ge PBE optimized geometry
data_KLi3Ge
_space_group_name_H-M_alt 'P m -3 m'
_space_group_IT_number 221
_space_group_name_Hall '-P 4 2 3'
_cell_length_a 5.000
_cell_length_b 5.000
_cell_length_c 5.000
_cell_angle_alpha 90.00
_cell_angle_beta 90.00
_cell_angle_gamma 90.00
loop_
_atom_site_label
_atom_site_type_symbol
_atom_site_fract_x
_atom_site_fract_y
_atom_site_fract_z
K1 K 0.000 0.000 0.000
Li1 Li 0.000 0.000 0.500
Ge1 Ge 0.500 0.500 0.500
# magnetic moment = 0.0 μB/cell
# calculated formation energy = 798 meV/atom

# Na3HgSe2 PBE optimized geometry
data_Na3HgSe2
_space_group_name_H-M_alt 'I b a m'
_space_group_IT_number 72
_space_group_name_Hall '-I 2 2c'
_cell_length_a 7.011
_cell_length_b 13.752
_cell_length_c 7.195
_cell_angle_alpha 90.00
_cell_angle_beta 90.00
_cell_angle_gamma 90.00
loop_
_atom_site_label
_atom_site_type_symbol
_atom_site_fract_x
_atom_site_fract_y
_atom_site_fract_z
Na1 Na 0.000 0.000 0.250
Na2 Na 0.000 0.273 0.250
Hg1 Hg 0.000 0.500 0.000
Se1 Se 0.207 0.139 0.000
# energy relative to the elements, uncorrected = -4.39 eV/f.u.
# magnetic moment = 2.4 μB/cell

# CoHg2Se PBE optimized geometry
data_CoHg2Se
_space_group_name_H-M_alt 'C m m m'
_space_group_IT_number 65
_space_group_name_Hall '-C 2 2'
_cell_length_a 4.163
_cell_length_b 4.190
_cell_length_c 9.258
_cell_angle_alpha 90.00
_cell_angle_beta 90.00
_cell_angle_gamma 90.00
loop_
_atom_site_label
_atom_site_type_symbol
_atom_site_fract_x
_atom_site_fract_y
_atom_site_fract_z
Co1 Co 0.000 0.000 0.000
Hg1 Hg 0.000 0.500 0.197
Se1 Se 0.000 0.000 0.500
# energy relative to the elements, uncorrected = 1.73 eV/f.u.
# magnetic moment = 2.4 μB/cell

# DyHo8Tl6 PBE optimized geometry
data_DyHo8Tl6
_space_group_name_H-M_alt 'R -3'
_space_group_IT_number 148
_space_group_name_Hall '-R 3'
_cell_length_a 9.0568
_cell_length_b 9.0568
_cell_length_c 19.4906
_cell_angle_alpha 90.00
_cell_angle_beta 90.00
_cell_angle_gamma 120.00
loop_
_atom_site_label
_atom_site_type_symbol
_atom_site_fract_x
_atom_site_fract_y
_atom_site_fract_z
Dy1 Dy 0.0000 0.0000 0.0000
Ho1 Ho 0.0000 0.0000 0.3334
Ho2 Ho 0.9998 0.3334 0.1093
Tl1 Tl 0.9997 0.3328 0.6022
# magnetic moment = 0.0 μB/cell
# calculated formation energy = -126 meV/atom

# BaGdAl4 PBE optimized geometry
data_BaGdAl4
_space_group_name_H-M_alt 'F -4 3 m'
_space_group_IT_number 216
_space_group_name_Hall 'F -4 2 3'
_cell_length_a 8.205
_cell_length_b 8.205
_cell_length_c 8.205
_cell_angle_alpha 90.00
_cell_angle_beta 90.00
_cell_angle_gamma 90.00
loop_
_atom_site_label
_atom_site_type_symbol
_atom_site_fract_x
_atom_site_fract_y
_atom_site_fract_z
Ba1 Ba 0.000 0.000 0.000
Gd1 Gd 0.250 0.250 0.750
Al1 Al 0.124 0.124 0.376
# magnetic moment = 28.5 μB/cell
# calculated formation energy = -286 meV/atom

- Among the records above, which one has the highest magnetic moment?
  EuErAgGe

- What is the formula in the seventh record?
  AsS2

- Which value of magnetic moment does entry 7 give?
  0.0 μB/cell

- What is the formula in the fifth record?
  SrHf3Sn